HfNbAsO | OQMD | PBE | optimized geometry; VASP energy = -8.805 eV/atom; ΔE to the lowest computed polymorph = 0.108 eV/atom; symmetry = Pmc2_1
1.0
-1.8149 3.7848 -0.6283
-3.2709 -0.9512 3.7179
3.8374 2.5070 4.0174
O Nb As Hf
2 2 2 2
Cartesian
0.7836 3.6473 5.3723 O
-0.8191 2.4857 3.0045 O
0.3923 0.7241 3.2284 Nb
1.6210 1.7769 6.0215 Nb
2.6884 1.8816 3.5687 As
-1.8104 -0.1223 4.4927 As
-1.1931 1.9719 0.9898 Hf
-1.0770 2.7012 5.0475 Hf

HfNbAsO | OQMD | PBE | optimized geometry; VASP energy = -8.271 eV/atom; ΔE to the lowest computed polymorph = 0.642 eV/atom; symmetry = P4/nmm
1.0
3.8046 0.0000 0.0000
0.0000 3.8046 0.0000
0.0000 0.0000 8.4656
O Nb Hf As
2 2 2 2
Cartesian
2.8534 0.9512 0.0000 O
0.9512 2.8534 0.0000 O
2.8534 2.8534 7.2549 Nb
0.9512 0.9512 1.2107 Nb
0.9512 2.8534 4.2328 Hf
2.8534 0.9512 4.2328 Hf
0.9512 0.9512 6.2392 As
2.8534 2.8534 2.2264 As

HfNbSi2As2 | OQMD | PBE | optimized geometry; VASP energy = -7.350 eV/atom; symmetry = P4mm
1.0
3.5496 0.0000 0.0000
0.0000 3.5496 0.0000
0.0000 0.0000 8.1173
As Nb Si Hf
2 1 2 1
Cartesian
1.7748 1.7748 4.9219 As
0.0000 0.0000 3.1355 As
1.7748 1.7748 2.0805 Nb
0.0000 1.7748 0.0460 Si
1.7748 0.0000 0.0460 Si
0.0000 0.0000 6.0046 Hf

HfNbTe2As2 | OQMD | PBE | optimized geometry; VASP energy = -6.565 eV/atom; symmetry = Imm2
1.0
2.8578 -6.5261 1.8789
-3.0985 -6.6139 -0.9706
2.5548 6.3718 -2.6758
Nb As Te Hf
1 2 2 1
Cartesian
-0.0918 -5.0133 0.3465 Nb
0.9362 -6.6816 -1.5678 As
-1.7189 -6.6059 -1.1769 As
2.6355 -3.9423 -0.1313 Te
-0.3228 -2.8992 -1.6312 Te
-0.1493 -8.1480 0.5632 Hf

NdHfAs | OQMD | PBE | optimized geometry; VASP energy = -6.835 eV/atom; symmetry = F-43m
1.0
0.0000 3.3503 3.3503
3.3503 0.0000 3.3503
3.3503 3.3503 0.0000
Nd Hf As
1 1 1
Cartesian
5.0255 5.0255 5.0255 Nd
1.6752 1.6752 1.6752 Hf
0.0000 0.0000 0.0000 As

NdHfAsO | OQMD | PBE | optimized geometry; VASP energy = -7.975 eV/atom; ΔE to the lowest computed polymorph = 0.000 eV/atom; symmetry = P4/nmm
1.0
-2.6464 2.1542 2.4815
0.6395 -2.7876 3.1019
6.8739 4.9514 3.0324
O As Nd Hf
2 2 2 2
Cartesian
-1.8249 0.9188 2.6366 O
-0.1819 -1.5521 2.9468 O
0.6396 1.0698 5.1337 As
4.2275 3.2482 3.4821 As
0.3366 0.4455 1.7657 Nd
4.5305 3.8725 6.8501 Nd
1.6121 3.3944 4.1528 Hf
3.2550 0.9235 4.4630 Hf

NdHfAsO | OQMD | PBE | optimized geometry; VASP energy = -7.796 eV/atom; ΔE to the lowest computed polymorph = 0.178 eV/atom; symmetry = Pmc2_1
1.0
4.1636 0.0000 0.0000
0.0000 7.3504 0.0000
0.0000 0.0000 6.0270
Hf O Nd As
2 2 2 2
Cartesian
2.0818 2.9143 0.0674 Hf
2.0818 4.4361 3.0809 Hf
2.0818 2.6178 2.1087 O
2.0818 4.7327 5.1222 O
0.0000 1.5890 2.7028 Nd
0.0000 5.7615 5.7163 Nd
0.0000 1.3386 5.6923 As
0.0000 6.0119 2.6789 As

NdHfAsO | OQMD | PBE | optimized geometry; VASP energy = -7.792 eV/atom; ΔE to the lowest computed polymorph = 0.182 eV/atom; symmetry = Pmma
1.0
5.2529 0.0000 0.0000
0.0000 4.0235 0.0000
0.0000 0.0000 7.8429
As Nd Hf O
2 2 2 2
Cartesian
3.9397 0.0000 4.7671 As
1.3132 0.0000 3.0758 As
3.9397 2.0118 6.8148 Nd
1.3132 2.0118 1.0282 Nd
1.3132 0.0000 5.7675 Hf
3.9397 0.0000 2.0754 Hf
3.9397 2.0118 1.4528 O
1.3132 2.0118 6.3901 O